No. 1
DFT (PBEsol) results for CrTeSe2 after structural relaxation.

Computed properties:
The energy relative to the elements, uncorrected comes out at 0.296 eV per atom. As for the symmetry: Pmmm, No. 47. Its raw total energy is -20.284 eV per cell.

Unit cell a=3.7793 b=3.7913 c=7.1467 alpha=90.00 beta=90.00 gamma=90.00
Last column: nearest neighbours and their distance in Å.
Fractional coordinates of all 4 atoms:
Se  0.0000  0.5000  0.5000  4 Cr 2.68
Se  0.0000  0.0000  0.0000  4 Te 2.68
Cr  0.5000  0.0000  0.5000  4 Se 2.68
Te  0.5000  0.5000  0.0000  4 Se 2.68

=====

No. 2
DFT (PBEsol) results for CrTeSe after structural relaxation.

Computed properties:
As for the relative energy among the computed polymorphs: 0.000 eV per atom. The energy relative to the elements, uncorrected comes out at -0.295 eV per atom. As for the symmetry: P3m1, No. 156. Its raw total energy is -18.504 eV per cell.

Unit cell a=3.5668 b=3.5668 c=5.9270 alpha=90.00 beta=90.00 gamma=120.00
Last column: nearest neighbours and their distance in Å.
Fractional coordinates of all 3 atoms:
Te  0.6667  0.3333  0.2673  3 Cr 2.69
Se  0.3333  0.6667  0.7569  3 Cr 2.43
Cr  0.0000  0.0000  0.9758  3 Se 2.43, 3 Te 2.69